[1]
BeAsCBr2: relaxed, PBE-GGA.

Structure (extended XYZ):
```
5
Lattice="4.7194 0.0000 0.0000 0.0000 4.7194 0.0000 0.0000 0.0000 4.3196" Properties=species:S:1:pos:R:3 pbc="T T T"
Be 0.0000 0.0000 0.0000
As 2.3597 2.3597 0.0000
C 2.3597 2.3597 2.1598
Br 0.0000 2.3597 2.1598
Br 2.3597 0.0000 2.1598
```

Output
The calculation puts the uncorrected formation energy at 1.4963 eV per atom. The value obtained for the energy above the most stable polymorph in this dataset is 0.000 eV/atom. The space group is P4/mmm (123).

---

[2]
LiIn2Mo: relaxed, PBE-GGA.

Structure (extended XYZ):
```
4
Lattice="-1.9812 1.9812 4.7582 1.9812 -1.9812 4.7582 1.9812 1.9812 -4.7582" Properties=species:S:1:pos:R:3 pbc="T T T"
Li 0.0000 0.0000 0.0000
In 0.0000 0.0000 4.7582
In 0.0000 1.9812 2.3791
Mo 1.9812 0.0000 2.3791
```

Output
Its energy of formation is 217 meV/atom. The value obtained for the energy above the most stable polymorph in this dataset is 0.125 eV/atom. The space group is I-4m2 (119).

---

| no. | V (Å³ per cell) | total energy (Ry/atom) |
| --- | --- | --- |
| 1 | 96 | -0.19792 |
| 2 | 75 | -0.31887 |